Crystalline YVB2 at its relaxed geometry, computed with PBE.

Calculated values
Energy relative to the lowest polymorph listed for this composition, eV/atom: 0.000
Total magnetic moment, μB/atom: 0.00
Crystal system: trigonal
Calculated formation energy, eV/atom: -0.046
Symmetry: R-3m

Cell lengths 3.572, 3.572, 14.773 Å; angles 90.00, 90.00, 120.00 degrees
Element x y z (fractional)
Y  0.000  0.000  0.000
Y  0.333  0.667  0.667
Y  0.667  0.333  0.333
V  0.000  0.000  0.500
V  0.333  0.667  0.167
V  0.667  0.333  0.833
B  0.000  0.000  0.215
B  0.000  0.000  0.785
B  0.333  0.667  0.452
B  0.333  0.667  0.881
B  0.667  0.333  0.119
B  0.667  0.333  0.548